[1]
VASP calculation (PBE-GGA) on Al3Mo after structural relaxation.

Geometry as CIF:
```
data_Al3Mo
_chemical_formula_sum 'Al9 Mo3'
_cell_length_a 2.8714
_cell_length_b 2.8714
_cell_length_c 26.9624
_cell_angle_alpha 90.00
_cell_angle_beta 90.00
_cell_angle_gamma 120.00
_space_group_name_H-M_alt 'R -3 m'
_space_group_IT_number 166
_space_group_name_Hall '-R 3 2"'
loop_
_atom_site_label
_atom_site_fract_x
_atom_site_fract_y
_atom_site_fract_z
_atom_site_occupancy
Al1 0.0000 0.0000 0.0000 1
Al2 0.0000 0.0000 0.2478 1
Mo1 0.0000 0.0000 0.5000 1
```

Calculated values
The calculation puts the electronic total energy at -66.646 eV per cell. The value obtained for the total magnetization is 0.0000 μB per atom. As for the crystal system: trigonal.



[2]
VASP calculation (PBE-GGA) on Al4Mo5 after structural relaxation.

Geometry as CIF:
```
data_Al4Mo5
_chemical_formula_sum 'Al8 Mo10'
_cell_length_a 7.8045
_cell_length_b 7.8045
_cell_length_c 5.2335
_cell_angle_alpha 90.00
_cell_angle_beta 90.00
_cell_angle_gamma 120.00
_space_group_name_H-M_alt 'P 63/m c m'
_space_group_IT_number 193
_space_group_name_Hall '-P 6c 2'
loop_
_atom_site_label
_atom_site_fract_x
_atom_site_fract_y
_atom_site_fract_z
_atom_site_occupancy
Al1 0.0000 0.0000 0.0000 1
Al2 0.0000 0.3847 0.2500 1
Mo1 0.0000 0.2840 0.7500 1
Mo2 0.3333 0.6667 0.0000 1
```

Calculated values
The calculation puts the electronic total energy at -139.603 eV per cell. The value obtained for the total magnetization is 0.0000 μB per atom. For the excess energy over the best structure of this formula in the dataset, the calculation gives 4 meV per atom. As for the crystal system: hexagonal.



[3]
VASP calculation (PBE-GGA) on AlMo after structural relaxation.

Geometry as CIF:
```
data_AlMo
_chemical_formula_sum 'Al6 Mo6'
_cell_length_a 9.909
_cell_length_b 3.279
_cell_length_c 5.948
_cell_angle_alpha 90.00
_cell_angle_beta 107.40
_cell_angle_gamma 90.00
_space_group_name_H-M_alt 'C 1 2/m 1'
_space_group_IT_number 12
loop_
_space_group_symop_operation_xyz
'x,y,z'
'-x,-y,-z'
'-x,y,-z'
'x,-y,z'
'x+1/2,y+1/2,z'
'-x+1/2,-y+1/2,-z'
'-x+1/2,y+1/2,-z'
'x+1/2,-y+1/2,z'
loop_
_atom_site_label
_atom_site_fract_x
_atom_site_fract_y
_atom_site_fract_z
_atom_site_occupancy
Al1 0.000 0.000 0.000 1
Al2 0.168 0.500 0.829 1
Mo1 0.000 0.000 0.500 1
Mo2 0.164 0.500 0.334 1
```

Calculated values
The calculation puts the electronic total energy at -89.729 eV per cell. The value obtained for the total magnetization is 0.0000 μB per atom. As for the crystal system: monoclinic.



[4]
VASP calculation (PBE-GGA) on Al3Mo after structural relaxation.

Geometry as CIF:
```
data_Al3Mo
_chemical_formula_sum 'Al3 Mo1'
_cell_length_a 2.8772
_cell_length_b 2.8772
_cell_length_c 8.9463
_cell_angle_alpha 90.00
_cell_angle_beta 90.00
_cell_angle_gamma 120.00
_space_group_name_H-M_alt 'P -6 m 2'
_space_group_IT_number 187
_space_group_name_Hall 'P -6 2'
loop_
_atom_site_label
_atom_site_fract_x
_atom_site_fract_y
_atom_site_fract_z
_atom_site_occupancy
Al1 0.0000 0.0000 0.0000 1
Al2 0.3333 0.6667 0.2592 1
Mo1 0.0000 0.0000 0.5000 1
```

Calculated values
The calculation puts the electronic total energy at -22.076 eV per cell. The value obtained for the total magnetization is 0.0000 μB per atom. As for the crystal system: hexagonal.



[5]
VASP calculation (PBE-GGA) on Al2Mo3 after structural relaxation.

Geometry as CIF:
```
data_Al2Mo3
_chemical_formula_sum 'Al16 Mo24'
_cell_length_a 9.208
_cell_length_b 13.974
_cell_length_c 4.832
_cell_angle_alpha 90.00
_cell_angle_beta 90.00
_cell_angle_gamma 90.00
_space_group_name_H-M_alt 'F d d 2'
_space_group_IT_number 43
_space_group_name_Hall 'F 2 -2d'
loop_
_atom_site_label
_atom_site_fract_x
_atom_site_fract_y
_atom_site_fract_z
_atom_site_occupancy
Al1 0.001 0.201 0.000 1
Mo1 0.000 0.000 0.001 1
Mo2 0.001 0.103 0.500 1
```

Calculated values
The calculation puts the electronic total energy at -320.155 eV per cell. The value obtained for the total magnetization is 0.0000 μB per atom. For the excess energy over the best structure of this formula in the dataset, the calculation gives 0 meV per atom. As for the crystal system: orthorhombic.



[6]
VASP calculation (PBE-GGA) on Al5Mo4 after structural relaxation.

Geometry as CIF:
```
data_Al5Mo4
_chemical_formula_sum 'Al10 Mo8'
_cell_length_a 7.8317
_cell_length_b 7.8317
_cell_length_c 5.1869
_cell_angle_alpha 90.00
_cell_angle_beta 90.00
_cell_angle_gamma 120.00
_space_group_name_H-M_alt 'P 63/m c m'
_space_group_IT_number 193
_space_group_name_Hall '-P 6c 2'
loop_
_atom_site_label
_atom_site_fract_x
_atom_site_fract_y
_atom_site_fract_z
_atom_site_occupancy
Al1 0.0000 0.3160 0.2500 1
Al2 0.3333 0.6667 0.0000 1
Mo1 0.0000 0.0000 0.0000 1
Mo2 0.0000 0.3509 0.7500 1
```

Calculated values
The calculation puts the electronic total energy at -124.251 eV per cell. The value obtained for the total magnetization is 0.0000 μB per atom. As for the crystal system: hexagonal.



[7]
VASP calculation (PBE-GGA) on AlMo after structural relaxation.

Geometry as CIF:
```
data_AlMo
_chemical_formula_sum 'Al8 Mo8'
_cell_length_a 8.095
_cell_length_b 8.095
_cell_length_c 8.095
_cell_angle_alpha 90.00
_cell_angle_beta 90.00
_cell_angle_gamma 90.00
_space_group_name_H-M_alt 'I -4 3 m'
_space_group_IT_number 217
_space_group_name_Hall 'I -4 2 3'
loop_
_atom_site_label
_atom_site_fract_x
_atom_site_fract_y
_atom_site_fract_z
_atom_site_occupancy
Al1 0.204 0.204 0.204 1
Mo1 0.110 0.110 0.890 1
```

Calculated values
The calculation puts the electronic total energy at -94.120 eV per cell. The value obtained for the total magnetization is 0.0000 μB per atom. As for the crystal system: cubic.



[8]
VASP calculation (PBE-GGA) on AlMo after structural relaxation.

Geometry as CIF:
```
data_AlMo
_chemical_formula_sum 'Al1 Mo1'
_cell_length_a 2.8457
_cell_length_b 2.8457
_cell_length_c 4.4489
_cell_angle_alpha 90.00
_cell_angle_beta 90.00
_cell_angle_gamma 120.00
_space_group_name_H-M_alt 'P -6 m 2'
_space_group_IT_number 187
_space_group_name_Hall 'P -6 2'
loop_
_atom_site_label
_atom_site_fract_x
_atom_site_fract_y
_atom_site_fract_z
_atom_site_occupancy
Al1 0.0000 0.0000 0.0000 1
Mo1 0.6667 0.3333 0.5000 1
```

Calculated values
The calculation puts the electronic total energy at -14.754 eV per cell. The value obtained for the total magnetization is 0.0000 μB per atom. As for the crystal system: hexagonal.



[9]
VASP calculation (PBE-GGA) on AlMo2 after structural relaxation.

Geometry as CIF:
```
data_AlMo2
_chemical_formula_sum 'Al4 Mo8'
_cell_length_a 3.245
_cell_length_b 12.912
_cell_length_c 4.452
_cell_angle_alpha 90.00
_cell_angle_beta 90.00
_cell_angle_gamma 90.00
_space_group_name_H-M_alt 'C m c m'
_space_group_IT_number 63
_space_group_name_Hall '-C 2c 2'
loop_
_atom_site_label
_atom_site_fract_x
_atom_site_fract_y
_atom_site_fract_z
_atom_site_occupancy
Al1 0.000 0.093 0.250 1
Mo1 0.000 0.235 0.750 1
Mo2 0.000 0.425 0.250 1
```

Calculated values
The calculation puts the electronic total energy at -102.950 eV per cell. The value obtained for the total magnetization is 0.0000 μB per atom. For the excess energy over the best structure of this formula in the dataset, the calculation gives 62 meV per atom. As for the crystal system: orthorhombic.



[10]
VASP calculation (PBE-GGA) on AlMo after structural relaxation.

Geometry as CIF:
```
data_AlMo
_chemical_formula_sum 'Al2 Mo2'
_cell_length_a 2.752
_cell_length_b 4.480
_cell_length_c 4.996
_cell_angle_alpha 90.00
_cell_angle_beta 96.75
_cell_angle_gamma 90.00
_space_group_name_H-M_alt 'P 1 21/m 1'
_space_group_IT_number 11
loop_
_space_group_symop_operation_xyz
'x,y,z'
'-x,-y,-z'
'-x,y+1/2,-z'
'x,-y+1/2,z'
loop_
_atom_site_label
_atom_site_fract_x
_atom_site_fract_y
_atom_site_fract_z
_atom_site_occupancy
Al1 0.034 0.250 0.360 1
Mo1 0.419 0.750 0.138 1
```

Calculated values
The calculation puts the electronic total energy at -29.834 eV per cell. The value obtained for the total magnetization is 0.0000 μB per atom. As for the crystal system: monoclinic.



[11]
VASP calculation (PBE-GGA) on AlMo2 after structural relaxation.

Geometry as CIF:
```
data_AlMo2
_chemical_formula_sum 'Al4 Mo8'
_cell_length_a 5.962
_cell_length_b 5.962
_cell_length_c 5.962
_cell_angle_alpha 90.00
_cell_angle_beta 90.00
_cell_angle_gamma 90.00
_space_group_name_H-M_alt 'P a -3'
_space_group_IT_number 205
_space_group_name_Hall '-P 2ac 2ab 3'
loop_
_atom_site_label
_atom_site_fract_x
_atom_site_fract_y
_atom_site_fract_z
_atom_site_occupancy
Al1 0.000 0.000 0.000 1
Mo1 0.121 0.621 0.879 1
```

Calculated values
The calculation puts the electronic total energy at -90.388 eV per cell. The value obtained for the total magnetization is 0.0000 μB per atom. For the excess energy over the best structure of this formula in the dataset, the calculation gives 1109 meV per atom. As for the crystal system: cubic.



[12]
VASP calculation (PBE-GGA) on AlMo after structural relaxation.

Geometry as CIF:
```
data_AlMo
_chemical_formula_sum 'Al6 Mo6'
_cell_length_a 7.2257
_cell_length_b 7.2257
_cell_length_c 4.4949
_cell_angle_alpha 90.00
_cell_angle_beta 90.00
_cell_angle_gamma 120.00
_space_group_name_H-M_alt 'P 63/m'
_space_group_IT_number 176
_space_group_name_Hall '-P 6c'
loop_
_atom_site_label
_atom_site_fract_x
_atom_site_fract_y
_atom_site_fract_z
_atom_site_occupancy
Al1 0.0556 0.2474 0.2500 1
Mo1 0.0978 0.4828 0.7500 1
```

Calculated values
The calculation puts the electronic total energy at -84.289 eV per cell. The value obtained for the total magnetization is 0.0000 μB per atom. As for the crystal system: hexagonal.



[13]
VASP calculation (PBE-GGA) on Al3Mo2 after structural relaxation.

Geometry as CIF:
```
data_Al3Mo2
_chemical_formula_sum 'Al3 Mo2'
_cell_length_a 4.4338
_cell_length_b 4.4338
_cell_length_c 5.2834
_cell_angle_alpha 90.00
_cell_angle_beta 90.00
_cell_angle_gamma 120.00
_space_group_name_H-M_alt 'P -3 m 1'
_space_group_IT_number 164
_space_group_name_Hall '-P 3 2"'
loop_
_atom_site_label
_atom_site_fract_x
_atom_site_fract_y
_atom_site_fract_z
_atom_site_occupancy
Al1 0.0000 0.0000 0.0000 1
Al2 0.3333 0.6667 0.3935 1
Mo1 0.3333 0.6667 0.9034 1
```

Calculated values
The calculation puts the electronic total energy at -33.035 eV per cell. The value obtained for the total magnetization is 0.0000 μB per atom. For the excess energy over the best structure of this formula in the dataset, the calculation gives 105 meV per atom. As for the crystal system: trigonal.